No. 1
A plane-wave DFT calculation with PBE with a Hubbard U was carried out for a geometry-optimized LiCrSiO4 structure.

abc: 10.2876 6.1568 4.7366
angles: 90.00 90.00 90.00
Fractional coordinates of all 28 atoms:
1 Li 0.2160 0.2500 0.0183
2 Li 0.2840 0.7500 0.5183
3 Li 0.7160 0.2500 0.4817
4 Li 0.7840 0.7500 0.9817
5 Cr 0.0000 0.0000 0.5000
6 Cr 0.0000 0.5000 0.5000
7 Cr 0.5000 0.0000 0.0000
8 Cr 0.5000 0.5000 0.0000
9 Si 0.0896 0.7500 0.0801
10 Si 0.4104 0.2500 0.5801
11 Si 0.5896 0.7500 0.4199
12 Si 0.9104 0.2500 0.9199
13 O 0.0574 0.2500 0.7494
14 O 0.0806 0.7500 0.7331
15 O 0.1490 0.5280 0.2200
16 O 0.1490 0.9720 0.2200
17 O 0.3510 0.0280 0.7200
18 O 0.3510 0.4720 0.7200
19 O 0.4194 0.2500 0.2331
20 O 0.4426 0.7500 0.2494
21 O 0.5574 0.2500 0.7506
22 O 0.5806 0.7500 0.7669
23 O 0.6490 0.5280 0.2800
24 O 0.6490 0.9720 0.2800
25 O 0.8510 0.0280 0.7800
26 O 0.8510 0.4720 0.7800
27 O 0.9194 0.2500 0.2669
28 O 0.9426 0.7500 0.2506

Values from the calculation:
* space group: Pnma
* mass density: 3.34 g/cm3
* energy relative to the lowest polymorph listed for this composition: 28.3 kJ/mol of formula units
* V: 10.71 Å³ per atom
* DOS at the Fermi energy: 0.00 states/eV per atom

=====

No. 2
A plane-wave DFT calculation with PBE with a Hubbard U was carried out for a geometry-optimized LiCrSi2O6 structure.

abc: 6.5395 6.5395 5.3554
angles: 105.18 105.18 83.78
Fractional coordinates of all 20 atoms:
1 Li 0.2401 0.7599 0.7500
2 Li 0.7599 0.2401 0.2500
3 Cr 0.4067 0.5933 0.2500
4 Cr 0.5933 0.4067 0.7500
5 Si 0.1110 0.2924 0.7347
6 Si 0.2924 0.1110 0.2347
7 Si 0.7076 0.8890 0.7653
8 Si 0.8890 0.7076 0.2653
9 O 0.1283 0.6102 0.3298
10 O 0.1427 0.1453 0.4461
11 O 0.1453 0.1427 0.9461
12 O 0.2991 0.4692 0.8510
13 O 0.3898 0.8717 0.1702
14 O 0.4692 0.2991 0.3510
15 O 0.5308 0.7009 0.6490
16 O 0.6102 0.1283 0.8298
17 O 0.7009 0.5308 0.1490
18 O 0.8547 0.8573 0.0539
19 O 0.8573 0.8547 0.5539
20 O 0.8717 0.3898 0.6702

Values from the calculation:
* space group: C2/c
* mass density: 3.29 g/cm3
* energy relative to the lowest polymorph listed for this composition: 0.6 kJ/mol of formula units
* V: 10.66 Å³ per atom
* DOS at the Fermi energy: 0.00 states/eV per atom

=====

No. 3
A plane-wave DFT calculation with PBE with a Hubbard U was carried out for a geometry-optimized Li2Cr5Si4O14 structure.

abc: 5.6517 7.6600 8.0384
angles: 113.89 91.01 106.22
Fractional coordinates of all 25 atoms:
1 Li 0.2252 0.1105 0.4567
2 Li 0.7748 0.8895 0.5433
3 Cr 0.0000 0.0000 0.0000
4 Cr 0.0755 0.3803 0.8119
5 Cr 0.3376 0.4283 0.2913
6 Cr 0.6624 0.5717 0.7087
7 Cr 0.9245 0.6197 0.1881
8 Si 0.2082 0.7942 0.6061
9 Si 0.4895 0.2272 0.8567
10 Si 0.5105 0.7728 0.1433
11 Si 0.7918 0.2058 0.3939
12 O 0.0253 0.1904 0.2703
13 O 0.1173 0.8330 0.4332
14 O 0.2233 0.6446 0.0468
15 O 0.3003 0.2342 0.0111
16 O 0.3001 0.5986 0.5565
17 O 0.4006 0.3230 0.7233
18 O 0.4625 0.9882 0.7300
19 O 0.5375 0.0118 0.2700
20 O 0.5994 0.6770 0.2767
21 O 0.6999 0.4014 0.4435
22 O 0.6997 0.7658 0.9889
23 O 0.7767 0.3554 0.9532
24 O 0.8827 0.1670 0.5668
25 O 0.9747 0.8096 0.7297

Values from the calculation:
* space group: P-1
* mass density: 3.35 g/cm3
* energy relative to the lowest polymorph listed for this composition: 0.0 kJ/mol of formula units
* V: 12.08 Å³ per atom
* DOS at the Fermi energy: 0.00 states/eV per atom

=====

No. 4
A plane-wave DFT calculation with PBE with a Hubbard U was carried out for a geometry-optimized LiSm2CrO6 structure.

abc: 5.3600 5.7381 9.1490
angles: 90.00 125.13 90.00
Fractional coordinates of all 20 atoms:
1 Li 0.0000 0.0000 0.0000
2 Li 0.0000 0.5000 0.5000
3 Sm 0.2296 0.0726 0.7489
4 Sm 0.2296 0.4274 0.2489
5 Sm 0.7704 0.5726 0.7511
6 Sm 0.7704 0.9274 0.2511
7 Cr 0.5000 0.0000 0.5000
8 Cr 0.5000 0.5000 0.0000
9 O 0.1632 0.1825 0.4522
10 O 0.1632 0.3175 0.9522
11 O 0.2664 0.7151 0.4470
12 O 0.2664 0.7849 0.9470
13 O 0.3572 0.0276 0.2637
14 O 0.3572 0.4724 0.7637
15 O 0.6428 0.5276 0.2363
16 O 0.6428 0.9724 0.7363
17 O 0.7336 0.2151 0.0530
18 O 0.7336 0.2849 0.5530
19 O 0.8368 0.6825 0.0478
20 O 0.8368 0.8175 0.5478

Values from the calculation:
* energy: -7.39 eV per atom
* space group: P2_1/c
* mass density: 6.58 g/cm3
* V: 11.51 Å³ per atom

=====

No. 5
A plane-wave DFT calculation with PBE with a Hubbard U was carried out for a geometry-optimized Li2Cr3SnO8 structure.

abc: 5.9463 5.9463 5.9463
angles: 61.06 61.06 61.06
Fractional coordinates of all 14 atoms:
1 Li 0.0000 0.0000 0.0000
2 Li 0.3732 0.3732 0.3732
3 Cr 0.4797 0.9992 0.9992
4 Cr 0.9992 0.4797 0.9992
5 Cr 0.9992 0.9992 0.4797
6 Sn 0.6098 0.6098 0.6098
7 O 0.2080 0.7568 0.7568
8 O 0.2344 0.2344 0.2344
9 O 0.2506 0.2506 0.7794
10 O 0.2506 0.7794 0.2506
11 O 0.7514 0.7514 0.7514
12 O 0.7568 0.2080 0.7568
13 O 0.7568 0.7568 0.2080
14 O 0.7794 0.2506 0.2506

Values from the calculation:
* space group: R3m
* mass density: 4.54 g/cm3
* energy relative to the lowest polymorph listed for this composition: 80.2 kJ/mol of formula units
* V: 10.87 Å³ per atom
* DOS at the Fermi energy: 0.18 states/eV per atom

=====

No. 6
A plane-wave DFT calculation with PBE with a Hubbard U was carried out for a geometry-optimized Li2Cr3SnO8 structure.

abc: 5.9627 5.9627 9.6932
angles: 90.00 90.00 120.00
Fractional coordinates of all 28 atoms:
1 Li 0.0000 0.0000 0.0000
2 Li 0.0000 0.0000 0.5000
3 Li 0.3333 0.6667 0.4022
4 Li 0.6667 0.3333 0.9022
5 Cr 0.1709 0.3419 0.7225
6 Cr 0.1709 0.8291 0.7225
7 Cr 0.3419 0.1709 0.2225
8 Cr 0.6581 0.8291 0.7225
9 Cr 0.8291 0.1709 0.2225
10 Cr 0.8291 0.6581 0.2225
11 Sn 0.3333 0.6667 0.0006
12 Sn 0.6667 0.3333 0.5006
13 O 0.0000 0.0000 0.3083
14 O 0.0000 0.0000 0.8083
15 O 0.0341 0.5171 0.8445
16 O 0.1596 0.3192 0.1068
17 O 0.1596 0.8404 0.1068
18 O 0.3192 0.1596 0.6068
19 O 0.3333 0.6667 0.6135
20 O 0.4829 0.5171 0.8445
21 O 0.4829 0.9659 0.8445
22 O 0.5171 0.0341 0.3445
23 O 0.5171 0.4829 0.3445
24 O 0.6667 0.3333 0.1135
25 O 0.6808 0.8404 0.1068
26 O 0.8404 0.1596 0.6068
27 O 0.8404 0.6808 0.6068
28 O 0.9659 0.4829 0.3445

Values from the calculation:
* space group: P6_3mc
* mass density: 4.64 g/cm3
* energy relative to the lowest polymorph listed for this composition: 0.0 kJ/mol of formula units
* V: 10.66 Å³ per atom
* DOS at the Fermi energy: 0.31 states/eV per atom

=====

No. 7
A plane-wave DFT calculation with PBE with a Hubbard U was carried out for a geometry-optimized Li2Cr3SnO8 structure.

abc: 5.9500 5.9500 6.1009
angles: 118.93 118.93 60.68
Fractional coordinates of all 14 atoms:
1 Li 0.1263 0.1263 0.3684
2 Li 0.8737 0.8737 0.6316
3 Cr 0.0000 0.5000 0.0000
4 Cr 0.5000 0.0000 0.0000
5 Cr 0.5000 0.5000 0.0000
6 Sn 0.5000 0.5000 0.5000
7 O 0.2581 0.2581 0.2301
8 O 0.2624 0.7164 0.2271
9 O 0.2729 0.2729 0.7962
10 O 0.2836 0.7376 0.7729
11 O 0.7164 0.2624 0.2271
12 O 0.7271 0.7271 0.2038
13 O 0.7376 0.2836 0.7729
14 O 0.7419 0.7419 0.7699

Values from the calculation:
* space group: C2/m
* mass density: 4.44 g/cm3
* energy relative to the lowest polymorph listed for this composition: 13.2 kJ/mol of formula units
* V: 11.14 Å³ per atom

=====

No. 8
A plane-wave DFT calculation with PBE with a Hubbard U was carried out for a geometry-optimized LiCr2SnO structure.

abc: 4.5414 4.5414 4.7149
angles: 90.00 90.00 90.00
Fractional coordinates of all 5 atoms:
1 Li 0.0000 0.0000 0.0000
2 Cr 0.0000 0.5000 0.0000
3 Cr 0.5000 0.0000 0.0000
4 Sn 0.0000 0.0000 0.5000
5 O 0.5000 0.5000 0.5000

Values from the calculation:
* space group: P4/mmm
* mass density: 4.19 g/cm3
* energy relative to the lowest polymorph listed for this composition: 202.1 kJ/mol of formula units
* V: 19.45 Å³ per atom
* DOS at the Fermi energy: 0.46 states/eV per atom

=====

No. 9
A plane-wave DFT calculation with PBE with a Hubbard U was carried out for a geometry-optimized Li2Cr2SnO6 structure.

abc: 5.3127 5.3127 10.2512
angles: 90.00 90.00 59.42
Fractional coordinates of all 22 atoms:
1 Li 0.1522 0.3478 0.2500
2 Li 0.3478 0.1522 0.7500
3 Li 0.6522 0.8478 0.2500
4 Li 0.8478 0.6522 0.7500
5 Cr 0.1638 0.1638 0.0000
6 Cr 0.3362 0.3362 0.5000
7 Cr 0.6638 0.6638 0.5000
8 Cr 0.8362 0.8362 0.0000
9 Sn 0.0000 0.0000 0.5000
10 Sn 0.5000 0.5000 0.0000
11 O 0.0087 0.3433 0.6068
12 O 0.1567 0.4913 0.8932
13 O 0.1622 0.8378 0.0995
14 O 0.3378 0.6622 0.5995
15 O 0.3433 0.0087 0.3932
16 O 0.4913 0.1567 0.1068
17 O 0.5087 0.8433 0.8932
18 O 0.6567 0.9913 0.6068
19 O 0.6622 0.3378 0.4005
20 O 0.8378 0.1622 0.9005
21 O 0.8433 0.5087 0.1068
22 O 0.9913 0.6567 0.3932

Values from the calculation:
* energy: -6.66 eV per atom
* space group: Cmce
* mass density: 4.43 g/cm3
* V: 11.32 Å³ per atom
* DOS at the Fermi energy: 0.00 states/eV per atom

=====

No. 10
A plane-wave DFT calculation with PBE with a Hubbard U was carried out for a geometry-optimized LiCrSnO4 structure.

abc: 6.0963 6.0963 8.5548
angles: 90.00 90.00 90.00
Fractional coordinates of all 28 atoms:
1 Li 0.0000 0.2325 0.0000
2 Li 0.0000 0.7675 0.5000
3 Li 0.2325 0.0000 0.2500
4 Li 0.7675 0.0000 0.7500
5 Cr 0.2425 0.5000 0.2500
6 Cr 0.5000 0.2425 0.0000
7 Cr 0.5000 0.7575 0.5000
8 Cr 0.7575 0.5000 0.7500
9 Sn 0.2524 0.2524 0.6250
10 Sn 0.2524 0.7476 0.8750
11 Sn 0.7476 0.2524 0.3750
12 Sn 0.7476 0.7476 0.1250
13 O 0.0194 0.2620 0.2508
14 O 0.0194 0.7380 0.2492
15 O 0.2620 0.0194 0.9992
16 O 0.2620 0.9806 0.5008
17 O 0.2625 0.4809 0.0138
18 O 0.2625 0.5191 0.4862
19 O 0.4809 0.2625 0.2362
20 O 0.4809 0.7375 0.2638
21 O 0.5191 0.2625 0.7638
22 O 0.5191 0.7375 0.7362
23 O 0.7375 0.4809 0.9862
24 O 0.7375 0.5191 0.5138
25 O 0.7380 0.0194 0.0008
26 O 0.7380 0.9806 0.4992
27 O 0.9806 0.2620 0.7492
28 O 0.9806 0.7380 0.7508

Values from the calculation:
* space group: P4_322
* mass density: 5.05 g/cm3
* energy relative to the lowest polymorph listed for this composition: 60.1 kJ/mol of formula units
* V: 11.35 Å³ per atom

=====

No. 11
A plane-wave DFT calculation with PBE with a Hubbard U was carried out for a geometry-optimized LiCr2SnO structure.

abc: 5.5291 5.5291 4.2220
angles: 90.00 90.00 90.00
Fractional coordinates of all 5 atoms:
1 Li 0.0000 0.0000 0.0000
2 Cr 0.0000 0.5000 0.5000
3 Cr 0.5000 0.0000 0.5000
4 Sn 0.5000 0.5000 0.5000
5 O 0.5000 0.5000 0.0000

Values from the calculation:
* space group: P4/mmm
* mass density: 3.16 g/cm3
* energy relative to the lowest polymorph listed for this composition: 0.0 kJ/mol of formula units
* V: 25.81 Å³ per atom
* DOS at the Fermi energy: 0.58 states/eV per atom

=====

No. 12
A plane-wave DFT calculation with PBE with a Hubbard U was carried out for a geometry-optimized LiCrSnO4 structure.

abc: 6.1544 6.1544 6.1544
angles: 121.06 118.47 90.42
Fractional coordinates of all 14 atoms:
1 Li 0.3774 0.1274 0.2500
2 Li 0.6226 0.8726 0.7500
3 Cr 0.0000 0.0000 0.5000
4 Cr 0.0000 0.5000 0.0000
5 Sn 0.0000 0.5000 0.5000
6 Sn 0.5000 0.5000 0.0000
7 O 0.2078 0.7394 0.4684
8 O 0.2290 0.2606 0.9684
9 O 0.2374 0.2545 0.5171
10 O 0.2374 0.7203 0.9829
11 O 0.7626 0.2797 0.0171
12 O 0.7626 0.7455 0.4829
13 O 0.7710 0.7394 0.0316
14 O 0.7922 0.2606 0.5316

Values from the calculation:
* space group: Imma
* mass density: 4.85 g/cm3
* energy relative to the lowest polymorph listed for this composition: 0.0 kJ/mol of formula units
* V: 11.81 Å³ per atom
* DOS at the Fermi energy: 0.00 states/eV per atom

=====

No. 13
A plane-wave DFT calculation with PBE with a Hubbard U was carried out for a geometry-optimized Li4V3Cr2Sn3O16 structure.

abc: 6.1064 6.1270 9.6804
angles: 89.71 89.68 60.18
Fractional coordinates of all 28 atoms:
1 Li 0.0000 0.0000 0.0000
2 Li 0.0140 0.9874 0.4926
3 Li 0.3471 0.3060 0.5951
4 Li 0.6825 0.6278 0.1015
5 V 0.1936 0.1341 0.2778
6 V 0.6775 0.1435 0.2826
7 V 0.8446 0.3119 0.7788
8 Cr 0.3469 0.3020 0.0093
9 Cr 0.6873 0.6368 0.5052
10 Sn 0.1826 0.6321 0.2785
11 Sn 0.3525 0.8030 0.7789
12 Sn 0.8452 0.8040 0.7796
13 O 0.0147 0.9738 0.6759
14 O 0.0219 0.9774 0.1825
15 O 0.0557 0.4411 0.1490
16 O 0.1714 0.1454 0.8903
17 O 0.1752 0.6490 0.9009
18 O 0.3379 0.3010 0.3913
19 O 0.3459 0.8162 0.3904
20 O 0.4778 0.0170 0.1569
21 O 0.5005 0.4401 0.1492
22 O 0.5349 0.9339 0.6436
23 O 0.5400 0.4890 0.6475
24 O 0.6784 0.6416 0.8960
25 O 0.6837 0.1440 0.8918
26 O 0.8441 0.8193 0.3929
27 O 0.8652 0.2997 0.3832
28 O 0.9743 0.4905 0.6487

Values from the calculation:
* energy: -6.77 eV per atom
* space group: P1
* mass density: 4.74 g/cm3
* V: 11.22 Å³ per atom

=====

No. 14
A plane-wave DFT calculation with PBE with a Hubbard U was carried out for a geometry-optimized Sr2Li2CrO6 structure.

abc: 5.8170 5.8170 5.8170
angles: 57.92 57.92 57.92
Fractional coordinates of all 11 atoms:
1 Sr 0.2277 0.2277 0.2277
2 Sr 0.7723 0.7723 0.7723
3 Li 0.4256 0.4256 0.4256
4 Li 0.5744 0.5744 0.5744
5 Cr 0.0000 0.0000 0.0000
6 O 0.2283 0.2283 0.7720
7 O 0.2283 0.7720 0.2283
8 O 0.2280 0.7717 0.7717
9 O 0.7720 0.2283 0.2283
10 O 0.7717 0.2280 0.7717
11 O 0.7717 0.7717 0.2280

Values from the calculation:
* energy: -5.92 eV per atom
* space group: R-3m
* mass density: 4.22 g/cm3
* V: 12.05 Å³ per atom

=====

No. 15
A plane-wave DFT calculation with PBE with a Hubbard U was carried out for a geometry-optimized Sr3Li2CrO6 structure.

abc: 5.6900 5.6900 6.2346
angles: 90.00 90.00 120.00
Fractional coordinates of all 12 atoms:
1 Sr 0.0000 0.0000 0.0000
2 Sr 0.3333 0.6667 0.6234
3 Sr 0.6667 0.3333 0.3766
4 Li 0.3333 0.6667 0.2035
5 Li 0.6667 0.3333 0.7965
6 Cr 0.0000 0.0000 0.5000
7 O 0.1616 0.3232 0.3118
8 O 0.1616 0.8384 0.3118
9 O 0.3232 0.1616 0.6882
10 O 0.6768 0.8384 0.3118
11 O 0.8384 0.1616 0.6882
12 O 0.8384 0.6768 0.6882

Values from the calculation:
* energy: -5.98 eV per atom
* space group: P-3m1
* mass density: 4.03 g/cm3
* V: 14.57 Å³ per atom
* DOS at the Fermi energy: 0.37 states/eV per atom